# 1
CsZr2H (PBE, relaxed); total magnetic moment = 0.0 μB/f.u.; ρ = 5.04 g/cm³; total DFT energy (no corrections) = -4.654 eV/atom; DOS at the Fermi energy = 17.6 states/eV/cell
1.0
-3.282 3.282 4.835
3.282 -3.282 4.835
3.282 3.282 -4.835
Cs Zr H
2 4 2
Cartesian
0.000 0.000 0.000
0.000 3.282 2.418
1.641 -0.082 3.626
3.201 1.641 1.209
1.641 3.364 -1.209
0.082 1.641 6.044
3.282 0.000 2.418
0.000 0.000 4.835


# 2
Cs2ZrH (PBE, relaxed); total magnetic moment = 3.0 μB/f.u.; ρ = 2.86 g/cm³; total DFT energy (no corrections) = -2.123 eV/atom; DOS at the Fermi energy = 3.5 states/eV/cell
1.0
0.000 4.701 4.701
4.701 0.000 4.701
4.701 4.701 0.000
Cs Zr H
2 1 1
Cartesian
2.350 2.350 2.350
7.051 7.051 7.051
0.000 0.000 0.000
4.701 4.701 4.701


# 3
CsHf (PBE, relaxed); DFT formation energy = 2.567 eV per formula unit; total magnetic moment = 1.0 μB/f.u.; ρ = 2.72 g/cm³; total DFT energy (no corrections) = -4.120 eV/atom; DOS at the Fermi energy = 12.8 states/eV/cell
1.0
-5.753 5.753 5.753
5.753 -5.753 5.753
5.753 5.753 -5.753
Cs Hf
4 4
Cartesian
3.339 3.339 -3.339
3.339 -3.339 3.339
2.414 2.414 2.414
-3.339 3.339 3.339
0.978 0.978 -0.978
0.978 -0.978 0.978
-0.978 0.978 0.978
4.776 4.776 4.776


# 4
CsHf (PBE, relaxed); DFT formation energy = 1.561 eV per formula unit; total magnetic moment = 0.0 μB/f.u.; ρ = 5.43 g/cm³; total DFT energy (no corrections) = -4.623 eV/atom; DOS at the Fermi energy = 20.1 states/eV/cell
1.0
14.911 0.000 0.000
0.000 14.911 0.000
0.000 0.000 3.427
Cs Hf
8 8
Cartesian
0.038 5.567 0.000
3.504 11.363 1.714
3.548 3.504 1.714
5.567 14.873 0.000
9.344 0.038 0.000
11.363 11.406 1.714
11.406 3.548 1.714
14.873 9.344 0.000
3.909 7.448 0.000
6.016 6.008 1.714
6.008 8.895 1.714
7.463 3.909 0.000
7.448 11.001 0.000
8.903 6.016 1.714
8.895 8.903 1.714
11.001 7.463 0.000


# 5
CsHf (PBE, relaxed); DFT formation energy = 3.183 eV per formula unit; total magnetic moment = 1.9 μB/f.u.; ρ = 5.76 g/cm³; total DFT energy (no corrections) = -3.812 eV/atom; DOS at the Fermi energy = 15.8 states/eV/cell
1.0
0.000 5.502 8.877
3.678 0.000 8.877
3.678 5.502 0.000
Cs Hf
4 4
Cartesian
2.758 0.449 6.658
4.597 3.199 11.097
2.758 7.804 6.658
4.597 10.554 11.097
2.758 4.126 5.284
2.758 4.126 8.032
4.597 6.877 9.723
4.597 6.877 12.470


# 6
CsHf4 (PBE, relaxed); DFT formation energy = 11.033 eV per formula unit; total magnetic moment = 0.0 μB/f.u.; ρ = 10.15 g/cm³; total DFT energy (no corrections) = -5.927 eV/atom; DOS at the Fermi energy = 5.5 states/eV/cell
1.0
5.174 0.000 0.000
0.000 5.174 0.000
0.000 0.000 5.174
Cs Hf
1 4
Cartesian
0.000 0.000 0.000
0.000 0.000 2.587
0.000 2.587 0.000
2.587 0.000 0.000
2.587 2.587 2.587


# 7
CsHf (PBE, relaxed); DFT formation energy = 5.018 eV per formula unit; total magnetic moment = 0.9 μB/f.u.; ρ = 5.75 g/cm³; total DFT energy (no corrections) = -2.895 eV/atom; DOS at the Fermi energy = 4.5 states/eV/cell
1.0
0.000 3.557 3.557
3.557 0.000 3.557
3.557 3.557 0.000
Cs Hf
1 1
Cartesian
0.000 0.000 0.000
3.557 3.557 3.557


# 8
CsHf (PBE, relaxed); DFT formation energy = 1.906 eV per formula unit; total magnetic moment = 0.0 μB/f.u.; ρ = 4.62 g/cm³; total DFT energy (no corrections) = -4.451 eV/atom; DOS at the Fermi energy = 14.5 states/eV/cell
1.0
10.974 0.000 0.000
0.000 4.979 0.000
0.000 0.000 16.396
Cs Hf
8 8
Cartesian
1.492 1.245 3.538
2.103 1.245 15.312
3.384 3.735 7.114
3.995 3.735 11.736
6.979 1.245 4.660
7.590 1.245 9.282
8.871 3.735 1.084
9.482 3.735 12.858
0.083 3.735 8.828
0.848 1.245 10.158
4.639 3.735 1.960
5.404 1.245 0.630
5.570 3.735 15.766
6.335 1.245 14.436
10.126 3.735 6.238
10.891 1.245 7.568


# 9
CsHf (PBE, relaxed); DFT formation energy = 2.547 eV per formula unit; total magnetic moment = 0.0 μB/f.u.; ρ = 7.02 g/cm³; total DFT energy (no corrections) = -4.130 eV/atom; DOS at the Fermi energy = 13.7 states/eV/cell
1.0
12.448 0.000 0.000
-6.224 10.780 0.000
0.000 0.000 3.296
Cs Hf
6 6
Cartesian
0.000 3.280 0.824
-3.383 9.140 0.824
2.840 1.640 2.472
3.383 9.140 0.824
9.607 1.640 2.472
6.224 7.500 2.472
-2.046 6.005 0.824
2.046 6.005 0.824
0.000 9.549 0.824
6.224 1.231 2.472
4.178 4.775 2.472
8.270 4.775 2.472


# 10
CsHf (PBE, relaxed); DFT formation energy = 2.222 eV per formula unit; total magnetic moment = 0.0 μB/f.u.; ρ = 4.89 g/cm³; total DFT energy (no corrections) = -4.292 eV/atom; DOS at the Fermi energy = 16.7 states/eV/cell
1.0
4.848 0.000 0.000
0.000 18.420 0.000
0.000 0.000 7.107
Cs Hf
6 6
Cartesian
1.212 1.141 1.769
1.212 8.069 1.769
1.212 13.815 4.959
3.636 4.605 2.148
3.636 10.350 5.338
3.636 17.279 5.338
1.212 4.605 5.856
1.212 12.419 1.533
1.212 15.210 1.533
3.636 3.210 5.574
3.636 6.000 5.574
3.636 13.815 1.251


# 11
CsHf (PBE, relaxed); DFT formation energy = 3.717 eV per formula unit; total magnetic moment = 0.9 μB/f.u.; ρ = 4.44 g/cm³; total DFT energy (no corrections) = -3.545 eV/atom; DOS at the Fermi energy = 7.2 states/eV/cell
1.0
7.743 0.000 0.000
0.000 7.743 0.000
0.000 0.000 7.769
Cs Hf
4 4
Cartesian
1.313 1.313 0.000
2.558 5.184 3.884
5.184 2.558 3.884
6.430 6.430 0.000
0.887 0.887 3.884
2.984 4.759 0.000
4.759 2.984 0.000
6.855 6.855 3.884


# 12
CsHf (PBE, relaxed); DFT formation energy = 2.992 eV per formula unit; total magnetic moment = 0.0 μB/f.u.; ρ = 4.02 g/cm³; total DFT energy (no corrections) = -3.908 eV/atom; DOS at the Fermi energy = 13.1 states/eV/cell
1.0
-7.336 7.336 2.390
7.336 -7.336 2.390
7.336 7.336 -2.390
Cs Hf
4 4
Cartesian
10.665 0.008 0.000
0.008 4.008 0.000
7.329 3.328 2.390
-3.328 7.329 2.390
10.549 4.092 0.000
4.092 4.124 0.000
3.244 3.213 2.390
-3.213 3.245 2.390


# 13
CsHf3Hg (PBE, relaxed); DFT formation energy = 11.360 eV per formula unit; total magnetic moment = 0.0 μB/f.u.; ρ = 9.98 g/cm³; total DFT energy (no corrections) = -3.931 eV/atom; DOS at the Fermi energy = 9.8 states/eV/cell
1.0
5.249 0.000 0.000
0.000 5.249 0.000
0.000 0.000 5.249
Cs Hf Hg
1 3 1
Cartesian
0.000 0.000 0.000
0.000 0.000 2.625
0.000 2.625 0.000
2.625 0.000 0.000
2.625 2.625 2.625


# 14
CsHfHg3 (PBE, relaxed); DFT formation energy = 6.191 eV per formula unit; total magnetic moment = 2.8 μB/f.u.; ρ = 5.34 g/cm³; total DFT energy (no corrections) = -1.104 eV/atom; DOS at the Fermi energy = 9.4 states/eV/cell
1.0
6.572 0.000 0.000
0.000 6.572 0.000
0.000 0.000 6.572
Cs Hf Hg
1 1 3
Cartesian
0.000 0.000 0.000
3.286 3.286 3.286
0.000 0.000 3.286
0.000 3.286 0.000
3.286 0.000 0.000


# 15
CsHf3Hg (PBE, relaxed); DFT formation energy = 6.958 eV per formula unit; total magnetic moment = 0.0 μB/f.u.; ρ = 9.02 g/cm³; total DFT energy (no corrections) = -4.811 eV/atom; DOS at the Fermi energy = 7.8 states/eV/cell
1.0
5.429 0.000 0.000
0.000 5.429 0.000
0.000 0.000 5.429
Cs Hf Hg
1 3 1
Cartesian
0.000 0.000 0.000
0.000 2.715 2.715
2.715 0.000 2.715
2.715 2.715 0.000
2.715 2.715 2.715


# 16
CsHfHg3 (PBE, relaxed); DFT formation energy = 0.946 eV per formula unit; total magnetic moment = 0.9 μB/f.u.; ρ = 8.09 g/cm³; total DFT energy (no corrections) = -2.153 eV/atom; DOS at the Fermi energy = 9.0 states/eV/cell
1.0
5.723 0.000 0.000
0.000 5.723 0.000
0.000 0.000 5.723
Cs Hf Hg
1 1 3
Cartesian
0.000 0.000 0.000
2.862 2.862 2.862
0.000 2.862 2.862
2.862 0.000 2.862
2.862 2.862 0.000


# 17
Cs2HfHg2I6 (PBE, relaxed); total magnetic moment = 0.0 μB/f.u.; ρ = 4.50 g/cm³; total DFT energy (no corrections) = -2.924 eV/atom; DOS at the Fermi energy = 0.0 states/eV/cell; formation energy (no corrections) = -0.964 eV per atom
1.0
4.569 -8.175 0.000
4.569 8.175 0.000
-3.944 0.000 7.941
Cs Hf Hg I
2 1 2 6
Cartesian
4.569 5.393 0.000
4.569 -5.393 0.000
4.569 0.000 0.000
2.597 3.179 3.970
2.597 -3.179 3.970
-0.510 2.014 6.241
2.213 0.000 1.634
-0.510 -2.014 6.241
5.703 2.014 1.700
2.981 0.000 6.307
5.703 -2.014 1.700


# 18
CsHfHgI6 (PBE, relaxed); total magnetic moment = 0.0 μB/f.u.; ρ = 4.55 g/cm³; total DFT energy (no corrections) = -3.121 eV/atom; DOS at the Fermi energy = 1.6 states/eV/cell; formation energy (no corrections) = -0.853 eV per atom
1.0
8.078 0.000 0.000
3.370 7.396 0.000
1.929 2.071 7.781
Cs Hf Hg I
1 1 1 6
Cartesian
0.000 0.000 0.000
10.316 6.680 4.833
5.246 3.380 4.731
4.486 8.251 4.112
3.000 4.714 2.918
3.855 5.396 6.842
8.756 8.091 2.924
9.557 8.600 6.856
8.096 5.072 5.624


# 19
Cs2Hf3HgO8 (PBE, relaxed); total magnetic moment = 0.0 μB/f.u.; ρ = 6.90 g/cm³; total DFT energy (no corrections) = -7.697 eV/atom; DOS at the Fermi energy = 0.0 states/eV/cell; formation energy (no corrections) = -2.588 eV per atom
1.0
3.286 1.897 7.275
-3.286 1.897 7.275
0.000 -3.794 7.275
Cs Hf Hg O
2 3 1 8
Cartesian
0.000 0.000 0.000
0.000 0.000 7.927
0.000 -1.927 11.589
-1.669 0.964 11.589
1.669 0.964 11.589
0.000 0.000 17.613
0.000 -1.713 5.292
-1.483 0.856 5.292
0.000 0.000 3.195
-1.412 -0.815 10.401
1.483 0.857 5.292
0.000 0.000 12.581
1.412 -0.815 10.401
0.000 1.630 10.401


# 20
CsHfHgSe2 (PBE, relaxed); total magnetic moment = 0.0 μB/f.u.; ρ = 6.91 g/cm³; total DFT energy (no corrections) = -4.471 eV/atom; DOS at the Fermi energy = 1.4 states/eV/cell; formation energy (no corrections) = -0.855 eV per atom
1.0
5.282 0.000 0.000
0.000 5.282 0.000
0.000 0.000 5.771
Cs Hf Hg Se
1 1 1 2
Cartesian
0.000 0.000 0.000
2.641 2.641 2.886
2.641 2.641 0.000
0.000 2.641 2.886
2.641 0.000 2.886


# 21
CsHfHgTe3 (PBE, relaxed); total magnetic moment = 0.0 μB/f.u.; ρ = 6.05 g/cm³; total DFT energy (no corrections) = -4.071 eV/atom; DOS at the Fermi energy = 4.6 states/eV/cell; formation energy (no corrections) = -0.649 eV per atom
1.0
4.154 -7.795 0.000
4.154 7.795 0.000
-1.197 0.000 7.581
Cs Hf Hg Te
2 2 2 6
Cartesian
3.256 4.064 5.686
3.855 -4.064 1.895
3.855 0.843 1.895
3.256 -0.843 5.686
3.855 6.629 1.895
3.256 -6.629 5.686
1.648 0.411 3.720
3.855 3.538 1.895
1.049 -0.411 7.510
6.062 0.411 0.071
3.256 -3.538 5.686
5.464 -0.411 3.862